Entry from Alexandria: crystalline HRuN2 at its relaxed geometry (GGA-PBE).

Geometry as POSCAR:
```
HRuN2
1.0
1.718 0.000 4.757
-0.859 1.487 4.757
-0.859 -1.487 4.757
Ru H N
1 1 2
Cartesian
0.000 0.000 7.135 Ru
0.000 0.000 0.000 H
0.000 0.000 13.003 N
0.000 0.000 1.267 N
```

Summary:
N(E_F)   0.93 states/eV/atom
VASP energy   -6.81 eV/atom